Density functional theory data (SCAN) for a PBEsol-optimized structure of PdAuOF2.

For the spin magnetization, the calculation gives 0.427 μB per atom.

The structure belongs to space group P4/mmm (No. 123); the cell edges are 3.9698, 3.9698 and 5.3923 Å and the angles 90.00°, 90.00° and 90.00°. The asymmetric unit holds Pd at (0.0000, 0.0000, 0.0000), Au at (0.0000, 0.0000, 0.5000), O at (0.5000, 0.5000, 0.0000) and F at (0.0000, 0.5000, 0.5000).

=====

Density functional theory data (SCAN) for a PBEsol-optimized structure of MnZnW2.

Its energy of formation is 0.180 eV per atom. For the spin magnetization, the calculation gives 0.393 μB per atom.

The structure belongs to space group Immm (No. 71); the cell edges are 3.0710, 4.2597 and 8.5459 Å and the angles 90.00°, 90.00° and 90.00°. The asymmetric unit holds Mn at (0.0000, 0.0000, 0.0000), Zn at (0.0000, 0.0000, 0.5000) and W at (0.0000, 0.5000, 0.2630).

=====

Density functional theory data (SCAN) for a PBEsol-optimized structure of HgTePt2.

The energy above the most stable polymorph in this dataset comes out at 237.1 meV/atom. For the spin magnetization, the calculation gives 0.000 μB per atom.

The structure belongs to space group P4/mmm (No. 123); the cell edges are 3.3809, 3.3809 and 6.4055 Å and the angles 90.00°, 90.00° and 90.00°. The asymmetric unit holds Hg at (0.0000, 0.0000, 0.0000), Te at (0.0000, 0.0000, 0.5000) and Pt at (0.5000, 0.5000, 0.2494).

=====

Density functional theory data (SCAN) for a PBEsol-optimized structure of YOsAu2.

Its energy of formation is -0.057 eV per atom. For the spin magnetization, the calculation gives 0.000 μB per atom.

The structure belongs to space group P4/mmm (No. 123); the cell edges are 3.5632, 3.5632 and 5.7443 Å and the angles 90.00°, 90.00° and 90.00°. The asymmetric unit holds Y at (0.0000, 0.0000, 0.0000), Os at (0.0000, 0.0000, 0.5000) and Au at (0.5000, 0.5000, 0.2667).

=====

Density functional theory data (SCAN) for a PBEsol-optimized structure of TlHRhW2.

For the spin magnetization, the calculation gives 0.000 μB per atom.

The structure belongs to space group P4/mmm (No. 123); the cell edges are 5.1578, 5.1578 and 3.0336 Å and the angles 90.00°, 90.00° and 90.00°. The asymmetric unit holds Tl at (0.0000, 0.0000, 0.0000), H at (0.0000, 0.0000, 0.5000), Rh at (0.5000, 0.5000, 0.5000) and W at (0.0000, 0.5000, 0.0000).

=====

Density functional theory data (SCAN) for a PBEsol-optimized structure of CuRhSe2.

For the spin magnetization, the calculation gives 0.000 μB per atom.

The structure belongs to space group R-3m (No. 166, hexagonal axes); the cell edges are 3.1450, 3.1450 and 23.8921 Å and the angles 90.00°, 90.00° and 120.00°. The asymmetric unit holds Cu at (0.0000, 0.0000, 0.0000), Rh at (0.0000, 0.0000, 0.5000) and Se at (0.0000, 0.0000, 0.4024).

=====

Density functional theory data (SCAN) for a PBEsol-optimized structure of SrCdAu4.

Its energy of formation is -0.512 eV per atom. For the spin magnetization, the calculation gives 0.000 μB per atom.

The structure belongs to space group F-43m (No. 216); the cell edges are 7.8686, 7.8686 and 7.8686 Å and the angles 90.00°, 90.00° and 90.00°. The asymmetric unit holds Sr at (0.0000, 0.0000, 0.0000), Cd at (0.2500, 0.2500, 0.2500) and Au at (0.1246, 0.1246, 0.6246).

=====

Density functional theory data (SCAN) for a PBEsol-optimized structure of BaZn3Rh.

The energy above the most stable polymorph in this dataset comes out at 13.7 meV/atom. Its energy of formation is -0.395 eV per atom. For the spin magnetization, the calculation gives 0.000 μB per atom.

The structure belongs to space group Pm-3m (No. 221); the cell edges are 4.8227, 4.8227 and 4.8227 Å and the angles 90.00°, 90.00° and 90.00°. The asymmetric unit holds Ba at (0.0000, 0.0000, 0.0000), Zn at (0.0000, 0.5000, 0.5000) and Rh at (0.5000, 0.5000, 0.5000).

=====

Density functional theory data (SCAN) for a PBEsol-optimized structure of Tl3VSe2S2.

For the spin magnetization, the calculation gives 0.000 μB per atom.

The structure belongs to space group Fmm2 (No. 42); the cell edges are 10.3526, 10.8943 and 7.5568 Å and the angles 90.00°, 90.00° and 90.00°. The asymmetric unit holds Tl at (0.0000, 0.0000, 0.0000), Tl at (0.2500, 0.2500, 0.4497), V at (0.0000, 0.0000, 0.4899), Se at (0.0000, 0.1737, 0.6600) and S at (0.1668, 0.0000, 0.3235).

=====

Density functional theory data (SCAN) for a PBEsol-optimized structure of ZnI3O.

For the spin magnetization, the calculation gives 0.571 μB per atom.

The structure belongs to space group Pm-3m (No. 221); the cell edges are 5.4390, 5.4390 and 5.4390 Å and the angles 90.00°, 90.00° and 90.00°. The asymmetric unit holds Zn at (0.0000, 0.0000, 0.0000), I at (0.0000, 0.0000, 0.5000) and O at (0.5000, 0.5000, 0.5000).

=====

Density functional theory data (SCAN) for a PBEsol-optimized structure of Be3Ru.

Its energy of formation is -0.405 eV per atom. For the spin magnetization, the calculation gives 0.001 μB per atom.

The structure belongs to space group P6_3/mmc (No. 194); the cell edges are 4.7560, 4.7560 and 3.7428 Å and the angles 90.00°, 90.00° and 120.00°. The asymmetric unit holds Be at (0.1620, 0.3240, 0.2500) and Ru at (0.3333, 0.6667, 0.7500).

=====

Density functional theory data (SCAN) for a PBEsol-optimized structure of TaAu5.

Its energy of formation is -0.022 eV per atom. For the spin magnetization, the calculation gives 0.000 μB per atom.

The structure belongs to space group Pm (No. 6); the cell edges are 2.8241, 4.7728 and 7.6749 Å and the angles 90.00°, 100.72° and 90.00°. The asymmetric unit holds Ta at (0.0000, 0.0000, 0.0000), Au at (0.1018, 0.5000, 0.2075), Au at (0.3335, 0.0000, 0.6709), Au at (0.4379, 0.5000, 0.8795), Au at (0.6638, 0.0000, 0.3263) and Au at (0.7683, 0.5000, 0.5412).

=====

Number 1: raw total energy -114.68 eV/cell. Number 2: raw total energy -340.85 eV/cell. Number 3: raw total energy -245.18 eV/cell. Number 4: raw total energy -238.26 eV/cell. Number 5: raw total energy -238.27 eV/cell. Number 6: raw total energy -264.34 eV/cell. Number 7: raw total energy -1329.57 eV/cell. Number 8: raw total energy -115.84 eV/cell. Number 9: raw total energy -1196.51 eV/cell. Number 10: raw total energy -127.11 eV/cell. Number 11: raw total energy -99.01 eV/cell. Number 12: raw total energy -412.50 eV/cell.